{"formula": "Nd2CoNiO6", "functional": "GGA+U", "state": "optimized geometry", "lattice_angstrom": [[5.527, 0.000, 0.000], [0.000, 5.420, 0.013], [0.000, 5.417, 7.699]], "species": ["O", "O", "O", "O", "O", "O", "O", "O", "O", "O", "O", "O", "Ni", "Ni", "Nd", "Nd", "Nd", "Nd", "Co", "Co"], "fractional_positions": [[0.218, 0.756, 0.043], [0.483, 0.161, 0.759], [0.983, 0.839, 0.741], [0.297, 0.323, 0.957], [0.017, 0.161, 0.259], [0.782, 0.244, 0.957], [0.517, 0.839, 0.241], [0.282, 0.756, 0.543], [0.703, 0.677, 0.043], [0.718, 0.244, 0.457], [0.203, 0.323, 0.457], [0.797, 0.677, 0.543], [0.500, 0.500, 0.500], [0.000, 0.500, 0.000], [0.450, 0.262, 0.250], [0.550, 0.738, 0.750], [0.950, 0.738, 0.250], [0.050, 0.262, 0.750], [0.500, 0.000, 0.000], [0.000, 0.000, 0.500]], "total_energy_ry_per_atom": -0.50546}